A plane-wave DFT calculation with PBE-GGA was carried out for a relaxed LaCd5Hg7 crystal.

```
data_LaCd5Hg7
_cell_length_a 6.269
_cell_length_b 10.182
_cell_length_c 9.954
_cell_angle_alpha 90.00
_cell_angle_beta 90.00
_cell_angle_gamma 90.00
_space_group_name_H-M_alt 'I m m 2'
_space_group_IT_number 44
_space_group_name_Hall 'I 2 -2'
loop_
_atom_site_label
_atom_site_fract_x
_atom_site_fract_y
_atom_site_fract_z
_atom_site_occupancy
La1 0.000 0.000 0.000 1
Cd1 0.000 0.500 0.735 1
Cd2 0.249 0.251 0.251 1
Hg1 0.000 0.000 0.345 1
Hg2 0.000 0.000 0.646 1
Hg3 0.000 0.307 0.504 1
Hg4 0.000 0.340 0.999 1
Hg5 0.000 0.500 0.272 1
```

Properties
energy relative to the elements = -0.11 eV/atom
density of states at the Fermi level = 0.405 states/eV per atom
M_tot = 0.0 μB per formula unit
electronic total energy = -25.97 eV per cell